VASP calculation (PBE-GGA) on a geometry-optimized Rb2HRu2 structure.

Calculated values
Crystal system: tetragonal
DFT total energy, eV per atom: -4.22

Unit cell a=3.481 b=3.481 c=19.663 alpha=90.00 beta=90.00 gamma=90.00
Space group I4/mmm (No. 139)
Inequivalent atoms, fractional coordinates:
Rb 0.000 0.000 0.089 x4
H 0.000 0.000 0.500 x2
Ru 0.000 0.500 0.250 x4

***

VASP calculation (PBE-GGA) on a geometry-optimized Rb3HRu structure.

Calculated values
Energy above the most stable polymorph in this dataset, eV/atom: 0.000
Crystal system: cubic

Unit cell a=5.669 b=5.669 c=5.669 alpha=90.00 beta=90.00 gamma=90.00
Space group Pm-3m (No. 221)
Inequivalent atoms, fractional coordinates:
Rb 0.000 0.000 0.500 x3
H 0.000 0.000 0.000 x1
Ru 0.500 0.500 0.500 x1

***

VASP calculation (PBE-GGA) on a geometry-optimized RbHRu3 structure.

Calculated values
Energy above the most stable polymorph in this dataset, eV/atom: 2.155
Crystal system: cubic

Unit cell a=4.955 b=4.955 c=4.955 alpha=90.00 beta=90.00 gamma=90.00
Space group Pm-3m (No. 221)
Inequivalent atoms, fractional coordinates:
Rb 0.000 0.000 0.000 x1
H 0.500 0.500 0.500 x1
Ru 0.000 0.000 0.500 x3